1.
The following is a PBE-GGA calculation of a relaxed NaAlCoSe3 crystal, from OQMD via LeMat-Bulk.

calculated total energy	-53.051	eV per cell

abc: 7.729 3.667 9.489
angles: 90.00 105.72 90.00
Atoms (fractional coordinates):
Al1 0.169 0.750 0.127
Al2 0.831 0.250 0.873
Co1 0.439 0.250 0.410
Co2 0.561 0.750 0.590
Na1 0.728 0.750 0.279
Na2 0.272 0.250 0.721
Se1 0.945 0.250 0.147
Se2 0.401 0.250 0.151
Se3 0.261 0.750 0.449
Se4 0.739 0.250 0.551
Se5 0.599 0.750 0.849
Se6 0.055 0.750 0.853



2.
The following is a PBE-GGA calculation of a relaxed LaPr2 crystal, from OQMD via LeMat-Bulk.

ΔE_f	0.691	eV/atom
distance to the lowest polymorph of the same formula	479	meV per atom

abc: 5.532 5.532 5.532
angles: 60.00 60.00 60.00
Atoms (fractional coordinates):
La1 0.000 0.000 0.000
Pr1 0.250 0.250 0.250
Pr2 0.750 0.750 0.750



3.
The following is a PBE-GGA calculation of a relaxed Re2Ag crystal, from OQMD via LeMat-Bulk.

ΔE_f	4.585	eV/atom
distance to the lowest polymorph of the same formula	3824	meV per atom

abc: 8.517 8.517 8.517
angles: 60.00 60.00 60.00
Atoms (fractional coordinates):
Ag1 0.250 0.250 0.250
Ag2 0.500 0.500 0.500
Re1 0.375 0.875 0.375
Re2 0.375 0.375 0.375
Re3 0.875 0.375 0.375
Re4 0.375 0.375 0.875